Entry from the Open Quantum Materials Database: an optimized crystal structure of InNi3SnS2 (PBE).

SG: R-3m
uncorrected energy: -4.91 eV per atom
energy above the lowest structure with this stoichiometry: 20.7 meV per atom

```
InNi3SnS2
1.0
2.737 1.580 4.462
-2.737 1.580 4.462
0.000 -3.161 4.462
In Ni Sn S
1 3 1 2
direct
0.000 0.000 0.000 In
0.000 0.500 0.500 Ni
0.500 0.000 0.500 Ni
0.500 0.500 0.000 Ni
0.500 0.500 0.500 Sn
0.222 0.222 0.222 S
0.778 0.778 0.778 S
```


Entry from the Open Quantum Materials Database: an optimized crystal structure of DyNpTe (PBE).

SG: F-43m
uncorrected energy: -6.89 eV per atom
energy above the lowest structure with this stoichiometry: 0.0 meV per atom

```
DyNpTe
1.0
0.000 3.595 3.595
3.595 0.000 3.595
3.595 3.595 0.000
Dy Np Te
1 1 1
direct
0.000 0.000 0.000 Dy
0.500 0.500 0.500 Np
0.250 0.250 0.250 Te
```


Entry from the Open Quantum Materials Database: an optimized crystal structure of TmZrGa4Ir2 (PBE).

SG: Amm2
uncorrected energy: -6.06 eV per atom

```
TmZrGa4Ir2
1.0
6.683 0.000 0.000
0.000 2.119 4.965
0.000 -2.119 4.965
Tm Zr Ga Ir
1 1 4 2
direct
0.000 0.000 0.000 Tm
0.500 0.163 0.163 Zr
0.202 0.713 0.713 Ga
0.304 0.449 0.449 Ga
0.696 0.449 0.449 Ga
0.798 0.713 0.713 Ga
0.000 0.289 0.289 Ir
0.500 0.875 0.875 Ir
```


Entry from the Open Quantum Materials Database: an optimized crystal structure of DyCuSbAs (PBE).

SG: P4/nmm
uncorrected energy: -4.93 eV per atom
energy above the lowest structure with this stoichiometry: 38.5 meV per atom

```
DyCuSbAs
1.0
4.092 0.000 0.000
0.000 4.092 0.000
0.000 0.000 10.009
Dy Cu Sb As
2 2 2 2
direct
0.250 0.250 0.225 Dy
0.750 0.750 0.775 Dy
0.250 0.750 0.500 Cu
0.750 0.250 0.500 Cu
0.250 0.250 0.669 Sb
0.750 0.750 0.331 Sb
0.250 0.750 0.000 As
0.750 0.250 0.000 As
```


Entry from the Open Quantum Materials Database: an optimized crystal structure of Sm3Gd2HoCoTe2 (PBE).

SG: Amm2
uncorrected energy: -5.30 eV per atom

```
Sm3Gd2HoCoTe2
1.0
3.970 0.000 0.000
0.000 7.309 4.235
0.000 -7.309 4.235
Sm Gd Ho Co Te
3 2 1 1 2
direct
0.000 0.000 0.000 Sm
0.000 0.405 0.809 Sm
0.000 0.809 0.405 Sm
0.500 0.171 0.405 Gd
0.500 0.405 0.171 Gd
0.500 0.639 0.639 Ho
0.000 0.411 0.411 Co
0.500 0.071 0.739 Te
0.500 0.739 0.071 Te
```


Entry from the Open Quantum Materials Database: an optimized crystal structure of YAlCu (PBE).

SG: F-43m
uncorrected energy: -4.52 eV per atom

```
YAlCu
1.0
0.000 3.199 3.199
3.199 0.000 3.199
3.199 3.199 0.000
Y Al Cu
1 1 1
direct
0.000 0.000 0.000 Y
0.750 0.750 0.750 Al
0.500 0.500 0.500 Cu
```


Entry from the Open Quantum Materials Database: an optimized crystal structure of BeTlFeCo (PBE).

SG: F-43m
uncorrected energy: -4.94 eV per atom
energy above the lowest structure with this stoichiometry: 0.0 meV per atom

```
BeTlFeCo
1.0
0.000 2.988 2.988
2.988 0.000 2.988
2.988 2.988 0.000
Be Tl Fe Co
1 1 1 1
direct
0.000 0.000 0.000 Be
0.250 0.250 0.250 Tl
0.750 0.750 0.750 Fe
0.500 0.500 0.500 Co
```


Entry from the Open Quantum Materials Database: an optimized crystal structure of GdMgZn (PBE).

SG: P1
uncorrected energy: -2.59 eV per atom

```
GdMgZn
1.0
6.123 0.000 0.000
-2.890 5.827 0.000
-1.102 -0.734 7.909
Gd Mg Zn
4 4 4
direct
0.000 0.000 0.000 Gd
0.037 0.645 0.664 Gd
0.496 0.461 0.906 Gd
0.538 0.316 0.322 Gd
0.013 0.488 0.056 Mg
0.476 0.946 0.028 Mg
0.631 0.088 0.676 Mg
0.773 0.878 0.344 Mg
0.055 0.348 0.365 Zn
0.144 0.155 0.625 Zn
0.238 0.809 0.338 Zn
0.506 0.631 0.577 Zn
```


Entry from the Open Quantum Materials Database: an optimized crystal structure of TaCuNiB (PBE).

SG: F-43m
uncorrected energy: -6.76 eV per atom
energy above the lowest structure with this stoichiometry: 56.4 meV per atom

```
TaCuNiB
1.0
0.000 2.855 2.855
2.855 0.000 2.855
2.855 2.855 0.000
Ta Cu Ni B
1 1 1 1
direct
0.000 0.000 0.000 Ta
0.750 0.750 0.750 Cu
0.500 0.500 0.500 Ni
0.250 0.250 0.250 B
```


Entry from the Open Quantum Materials Database: an optimized crystal structure of Ba2IrAu (PBE).

SG: P2_1/m
uncorrected energy: -4.43 eV per atom
energy above the lowest structure with this stoichiometry: 0.0 meV per atom

```
Ba2IrAu
1.0
6.428 0.000 0.000
0.000 4.651 0.000
-0.267 0.000 8.903
Ba Ir Au
4 2 2
direct
0.122 0.250 0.174 Ba
0.377 0.250 0.685 Ba
0.623 0.750 0.315 Ba
0.878 0.750 0.826 Ba
0.442 0.750 0.983 Ir
0.558 0.250 0.017 Ir
0.131 0.750 0.458 Au
0.869 0.250 0.542 Au
```


Entry from the Open Quantum Materials Database: an optimized crystal structure of HoZrZn2Pd4 (PBE).

SG: P4/mmm
uncorrected energy: -5.24 eV per atom
ΔH_f (0 K): -5.60 eV/f.u.

```
HoZrZn2Pd4
1.0
4.610 0.000 0.000
0.000 4.610 0.000
0.000 0.000 6.537
Ho Zr Zn Pd
1 1 2 4
direct
0.000 0.000 0.000 Ho
0.500 0.500 0.500 Zr
0.000 0.000 0.500 Zn
0.500 0.500 0.000 Zn
0.000 0.500 0.261 Pd
0.000 0.500 0.739 Pd
0.500 0.000 0.261 Pd
0.500 0.000 0.739 Pd
```


Entry from the Open Quantum Materials Database: an optimized crystal structure of In2CoBiS6 (PBE).

SG: P2_1/m
uncorrected energy: -4.49 eV per atom

```
In2CoBiS6
1.0
11.292 0.000 0.000
0.000 3.807 0.000
-5.553 0.000 11.130
In Co Bi S
4 2 2 12
direct
0.045 0.250 0.142 In
0.264 0.250 0.716 In
0.736 0.750 0.284 In
0.955 0.750 0.858 In
0.155 0.750 0.404 Co
0.845 0.250 0.596 Co
0.406 0.250 0.107 Bi
0.594 0.750 0.893 Bi
0.033 0.250 0.758 S
0.144 0.750 0.571 S
0.158 0.750 0.071 S
0.228 0.250 0.387 S
0.355 0.750 0.892 S
0.498 0.250 0.724 S
0.502 0.750 0.276 S
0.645 0.250 0.108 S
0.772 0.750 0.613 S
0.842 0.250 0.929 S
0.856 0.250 0.429 S
0.967 0.750 0.242 S
```


Entry from the Open Quantum Materials Database: an optimized crystal structure of NaDySe2O8 (PBE).

SG: I-4
uncorrected energy: -5.86 eV per atom

```
NaDySe2O8
1.0
-2.517 2.517 5.618
2.517 -2.517 5.618
2.517 2.517 -5.618
Na Dy Se O
1 1 2 8
direct
0.000 0.000 0.000 Na
0.750 0.250 0.500 Dy
0.250 0.750 0.500 Se
0.500 0.500 0.000 Se
0.029 0.428 0.111 O
0.082 0.971 0.398 O
0.175 0.553 0.890 O
0.316 0.918 0.889 O
0.447 0.337 0.622 O
0.572 0.684 0.602 O
0.663 0.285 0.110 O
0.715 0.825 0.378 O
```


Entry from the Open Quantum Materials Database: an optimized crystal structure of SmHoFe2Ni6B2 (PBE).

SG: P6/mmm
uncorrected energy: -6.42 eV per atom
energy above the lowest structure with this stoichiometry: 16.3 meV per atom

```
SmHoFe2Ni6B2
1.0
5.036 0.000 0.000
-2.518 4.361 0.000
0.000 0.000 7.013
Sm Ho Fe Ni B
1 1 2 6 2
direct
0.000 0.000 0.000 Sm
0.000 0.000 0.500 Ho
0.333 0.667 0.500 Fe
0.667 0.333 0.500 Fe
0.000 0.500 0.208 Ni
0.000 0.500 0.792 Ni
0.500 0.000 0.208 Ni
0.500 0.000 0.792 Ni
0.500 0.500 0.208 Ni
0.500 0.500 0.792 Ni
0.333 0.667 0.000 B
0.667 0.333 0.000 B
```


Entry from the Open Quantum Materials Database: an optimized crystal structure of Sr2CdO3 (PBE).

SG: Immm
uncorrected energy: -5.24 eV per atom
energy above the lowest structure with this stoichiometry: 101.3 meV per atom

```
Sr2CdO3
1.0
-1.717 2.106 6.727
1.717 -2.106 6.727
1.717 2.106 -6.727
Sr Cd O
2 1 3
direct
0.153 0.153 0.000 Sr
0.847 0.847 0.000 Sr
0.500 0.500 0.000 Cd
0.000 0.500 0.500 O
0.332 0.332 0.000 O
0.668 0.668 0.000 O
```


Entry from the Open Quantum Materials Database: an optimized crystal structure of PrNdSb4Pd2 (PBE).

SG: P4mm
uncorrected energy: -5.40 eV per atom

```
PrNdSb4Pd2
1.0
4.502 0.000 0.000
0.000 4.502 0.000
0.000 0.000 9.993
Pr Nd Sb Pd
1 1 4 2
direct
0.000 0.000 0.000 Pr
0.500 0.500 0.495 Nd
0.000 0.000 0.399 Sb
0.000 0.500 0.747 Sb
0.500 0.000 0.747 Sb
0.500 0.500 0.096 Sb
0.000 0.500 0.248 Pd
0.500 0.000 0.248 Pd
```


Entry from the Open Quantum Materials Database: an optimized crystal structure of PaZn2Os (PBE).

SG: P2_1/m
uncorrected energy: -6.07 eV per atom
ΔH_f (0 K): -1.01 eV/f.u.

```
PaZn2Os
1.0
4.670 0.000 0.000
0.000 6.394 0.000
-1.458 0.000 4.831
Pa Zn Os
2 4 2
direct
0.041 0.250 0.159 Pa
0.959 0.750 0.841 Pa
0.421 0.051 0.730 Zn
0.421 0.449 0.730 Zn
0.579 0.551 0.270 Zn
0.579 0.949 0.270 Zn
0.100 0.750 0.363 Os
0.900 0.250 0.637 Os
```


Entry from the Open Quantum Materials Database: an optimized crystal structure of CsErGeTe3 (PBE).

SG: Cmcm
uncorrected energy: -4.11 eV per atom
energy above the lowest structure with this stoichiometry: 86.3 meV per atom

```
CsErGeTe3
1.0
2.277 -8.412 0.000
2.277 8.412 0.000
0.000 0.000 12.223
Cs Er Ge Te
2 2 2 6
direct
0.245 0.755 0.750 Cs
0.755 0.245 0.250 Cs
0.500 0.500 0.000 Er
0.500 0.500 0.500 Er
0.051 0.949 0.250 Ge
0.949 0.051 0.750 Ge
0.123 0.877 0.035 Te
0.123 0.877 0.465 Te
0.450 0.550 0.250 Te
0.550 0.450 0.750 Te
0.877 0.123 0.535 Te
0.877 0.123 0.965 Te
```


Entry from the Open Quantum Materials Database: an optimized crystal structure of Zn2InSn2 (PBE).

SG: I4/mmm
uncorrected energy: -2.54 eV per atom
energy above the lowest structure with this stoichiometry: 17.1 meV per atom

```
Zn2InSn2
1.0
-2.284 2.284 6.037
2.284 -2.284 6.037
2.284 2.284 -6.037
Zn In Sn
2 1 2
direct
0.250 0.750 0.500 Zn
0.750 0.250 0.500 Zn
0.000 0.000 0.000 In
0.381 0.381 0.000 Sn
0.619 0.619 0.000 Sn
```